(1)
{"formula": "SmPuSn2", "functional": "PBE", "state": "relaxed", "lattice_angstrom": [[-2.599, -0.327, -2.247], [-1.222, -2.677, 1.803], [-5.014, 5.641, 4.980]], "species": ["Sn", "Sn", "Pu", "Sm"], "fractional_positions": [[0.000, 0.000, 0.752], [0.000, 0.000, 0.248], [0.500, 0.500, 0.000], [0.500, 0.500, 0.500]], "total_magnetization_mub_per_atom": 1.4859, "e_tot_ev_per_atom": -7.288, "sg": "No. 123", "ef_ev_per_atom": -0.524, "mass_density_g_cm3": 9.74}

(2)
{"formula": "Fe2TeP", "functional": "PBE", "state": "relaxed", "lattice_angstrom": [[4.054, 0.004, 0.008], [2.890, 2.843, 0.008], [0.779, 0.320, 5.300]], "species": ["Fe", "Fe", "P", "Te"], "fractional_positions": [[0.762, 0.762, 0.629], [0.006, 0.006, 0.965], [0.469, 0.469, 0.683], [0.263, 0.263, 0.224]], "total_magnetization_mub_per_atom": 0.2871, "e_tot_ev_per_atom": -6.400, "sg": "No. 8", "polymorph_energy_mev_per_atom": 61, "mass_density_g_cm3": 7.36}

(3)
{"formula": "K2PrAgBr6", "functional": "PBE", "state": "relaxed", "lattice_angstrom": [[8.114, 0.000, 0.000], [4.057, 7.027, 0.000], [4.057, 2.342, 6.625]], "species": ["K", "K", "Br", "Br", "Br", "Br", "Br", "Br", "Ag", "Pr"], "fractional_positions": [[0.250, 0.250, 0.250], [0.750, 0.750, 0.750], [0.248, 0.752, 0.752], [0.752, 0.248, 0.248], [0.248, 0.248, 0.752], [0.248, 0.752, 0.248], [0.752, 0.752, 0.248], [0.752, 0.248, 0.752], [0.000, 0.000, 0.000], [0.500, 0.500, 0.500]], "total_magnetization_mub_per_atom": 0.0000, "e_tot_ev_per_atom": -3.453, "sg": "No. 225", "polymorph_energy_mev_per_atom": 56, "mass_density_g_cm3": 3.54}